1.
SmCoSb2 PBE-GGA relaxed; volume = 184.48 Å³ per cell; size of the total moment = 1.7 μB/cell; formation energy (no corrections) = -0.626 eV per atom
1.0
4.3674 0.0000 0.0000
0.0000 4.3674 0.0000
0.0000 0.0000 9.6719
Sb Co Sm
4 2 2
Direct
0.0000 0.5000 0.3635
0.5000 0.0000 0.6365
0.0000 0.0000 0.0000
0.5000 0.5000 0.0000
0.0000 0.0000 0.5000
0.5000 0.5000 0.5000
0.0000 0.5000 0.7404
0.5000 0.0000 0.2596

***

2.
AlCrIn2 PBE-GGA relaxed; volume = 78.17 Å³ per cell; size of the total moment = 3.4 μB/cell; formation energy from the elements = 0.271 eV per atom
1.0
4.2957 0.0000 0.0000
0.0000 4.2948 0.0000
0.0000 0.0000 4.2372
Cr In Al
1 2 1
Direct
0.0000 0.5000 0.5000
0.0000 0.0000 0.0000
0.5000 0.5000 0.0000
0.5000 0.0000 0.5000

***

3.
InAgTe2 PBE-GGA relaxed; volume = 123.43 Å³ per cell; size of the total moment = 0.0 μB/cell; formation energy (no corrections) = -0.014 eV per atom
1.0
3.9298 0.0000 0.0000
0.0000 4.2844 0.1398
0.0000 2.7374 7.4201
Te Ag In
2 1 1
Direct
0.0000 0.2296 0.9986
0.0000 0.2705 0.5014
0.5000 0.2500 0.2500
0.5000 0.7500 0.7500

***

4.
CdNiBi2 PBE-GGA relaxed; volume = 254.06 Å³ per cell; size of the total moment = 0.0 μB/cell; formation energy from the elements = 0.289 eV per atom
1.0
-4.9368 -4.1402 0.1660
3.5854 -4.1390 3.3992
-2.6465 -1.5813 6.9764
Cd Bi Ni
2 4 2
Direct
0.7500 0.2500 0.5000
0.0000 0.0000 0.0000
0.5585 0.1250 0.2500
0.8750 0.8085 0.7500
0.1915 0.6250 0.2500
0.3750 0.4415 0.7500
0.2500 0.7500 0.5000
0.5000 0.5000 0.0000